DFT (PBE) results for crystalline Ac2SiAu at its relaxed geometry.

The uncorrected formation energy is -0.643 eV/atom. The calculation puts the calculated volume at 241 Å³/cell. The value obtained for the distance to the lowest polymorph of the same formula is 0.000 eV per formula unit.

The space group is P2_1/m (No. 11) and the conventional cell measures 6.3035, 4.5468 and 8.9108 Å, with angles of 90.00, 109.45 and 90.00 degrees. The distinct sites, in fractional coordinates, are Ac at (0.2072, 0.2500, 0.4247), Ac at (0.2911, 0.7500, 0.0674), Si at (0.3681, 0.7500, 0.7095) and Au at (0.1444, 0.2500, 0.7854).



DFT (PBE) results for crystalline AcSiAu4 at its relaxed geometry.

The uncorrected formation energy is -0.457 eV/atom. The calculation puts the calculated volume at 537 Å³/cell. The value obtained for the distance to the lowest polymorph of the same formula is 0.000 eV per formula unit.

The space group is Cmcm (No. 63) and the conventional cell measures 5.1551, 14.8250 and 7.0218 Å, with angles of 90.00, 90.00 and 90.00 degrees. The distinct sites, in fractional coordinates, are Ac at (0.0000, 0.1060, 0.2500), Si at (0.0000, 0.3788, 0.2500), Au at (0.0000, 0.1151, 0.7500), Au at (0.0000, 0.2912, 0.5501) and Au at (0.0000, 0.5000, 0.0000).



DFT (PBE) results for crystalline Ac2Si3Au2 at its relaxed geometry.

The uncorrected formation energy is -0.617 eV/atom. The calculation puts the calculated volume at 644 Å³/cell.

The space group is Cmcm (No. 63) and the conventional cell measures 4.7309, 19.0996 and 7.1253 Å, with angles of 90.00, 90.00 and 90.00 degrees. The distinct sites, in fractional coordinates, are Ac at (0.0000, 0.0526, 0.2500), Ac at (0.0000, 0.1591, 0.7500), Si at (0.0000, 0.2229, 0.2500), Si at (0.0000, 0.4451, 0.0799) and Au at (0.0000, 0.3191, 0.5525).



DFT (PBE) results for crystalline AcSi2Au8 at its relaxed geometry.

The uncorrected formation energy is -0.056 eV/atom. The calculation puts the calculated volume at 269 Å³/cell.

The space group is P4/mmm (No. 123) and the conventional cell measures 5.7150, 5.7150 and 8.2241 Å, with angles of 90.00, 90.00 and 90.00 degrees. The distinct sites, in fractional coordinates, are Ac at (0.0000, 0.0000, 0.0000), Si at (0.0000, 0.5000, 0.5000) and Au at (0.2531, 0.2531, 0.3049).



DFT (PBE) results for crystalline AcSi2Au at its relaxed geometry.

The uncorrected formation energy is -0.380 eV/atom. The calculation puts the calculated volume at 201 Å³/cell. The value obtained for the distance to the lowest polymorph of the same formula is 0.000 eV per formula unit.

The space group is Amm2 (No. 38) and the conventional cell measures 4.3347, 5.9675 and 7.7626 Å, with angles of 90.00, 90.00 and 90.00 degrees. The distinct sites, in fractional coordinates, are Ac at (0.0000, 0.0000, 0.0000), Si at (0.5000, 0.1916, 0.7100) and Au at (0.5000, 0.0000, 0.4173).



DFT (PBE) results for crystalline Ac3Si4Au4 at its relaxed geometry.

The uncorrected formation energy is -0.719 eV/atom. The calculation puts the calculated volume at 256 Å³/cell.

The space group is P-1 (No. 2) and the conventional cell measures 4.4405, 4.5379 and 13.0865 Å, with angles of 80.03, 80.25 and 89.98 degrees. The distinct sites, in fractional coordinates, are Ac at (0.0000, 0.0000, 0.0000), Ac at (0.3502, 0.8503, 0.2985), Si at (0.1954, 0.6955, 0.6100), Si at (0.4523, 0.4528, 0.0956), Au at (0.0957, 0.5961, 0.8080) and Au at (0.2495, 0.2502, 0.5008).